Crystalline Th8NiRh5 at its relaxed geometry. Source: Alexandria via LeMat-Bulk, functional PBE.

a b c (Å): 7.691 7.691 7.691
angles (deg): 109.53 109.53 109.36
Sites, in units of the cell vectors:
Th1 0.266 0.518 0.142
Th2 0.372 0.124 0.354
Th3 0.376 0.123 0.858
Th4 0.482 0.624 0.748
Th5 0.771 0.019 0.646
Th6 0.876 0.229 0.248
Th7 0.877 0.734 0.252
Th8 0.981 0.628 0.752
Ni1 0.000 0.000 0.000
Rh1 0.126 0.252 0.628
Rh2 0.250 0.750 0.500
Rh3 0.503 0.874 0.126
Rh4 0.624 0.497 0.372
Rh5 0.748 0.376 0.874

Values from the calculation:
E_tot	-7.9714	eV per atom
crystal system	tetragonal
SG	I-4, No. 82